{"formula": "SrNi2Br", "functional": "PBEsol", "state": "optimized geometry", "m_tot_mub_per_cell": 0.72, "cell": [[5.288, -1.878, 0.000], [5.288, 1.878, 0.000], [-1.730, 0.000, 4.841]], "species": ["Sr", "Ni", "Ni", "Br"], "fractional_positions": [[0.000, 0.000, 0.000], [0.295, 0.295, 0.113], [0.705, 0.705, 0.887], [0.500, 0.500, 0.500]]}

---

{"formula": "SrNi2Br", "functional": "PBEsol", "state": "optimized geometry", "m_tot_mub_per_cell": 1.03, "cell": [[3.933, 0.000, 0.000], [0.000, 3.933, 0.000], [0.000, 0.000, 5.826]], "species": ["Sr", "Ni", "Ni", "Br"], "fractional_positions": [[0.000, 0.000, 0.000], [0.500, 0.500, 0.191], [0.500, 0.500, 0.809], [0.000, 0.000, 0.500]]}

---

{"formula": "TaNiBr", "functional": "PBEsol", "state": "optimized geometry", "m_tot_mub_per_cell": 0.00, "cell": [[-1.496, 1.496, 5.620], [1.496, -1.496, 5.620], [1.496, 1.496, -5.620]], "species": ["Ta", "Ni", "Br"], "fractional_positions": [[0.000, 0.000, 0.000], [0.637, 0.637, 0.000], [0.343, 0.343, 0.000]]}

---

{"formula": "TaNiBr", "functional": "PBEsol", "state": "optimized geometry", "m_tot_mub_per_cell": 0.00, "cell": [[0.000, 3.001, 3.001], [3.001, 0.000, 3.001], [3.001, 3.001, 0.000]], "species": ["Ta", "Ni", "Br"], "fractional_positions": [[0.000, 0.000, 0.000], [0.250, 0.250, 0.250], [0.750, 0.750, 0.750]]}

---

Formation energy from raw total energies values (in eV/atom) by entry order: -0.029, 0.278, 0.241, 0.713.